A plane-wave DFT calculation with PBEsol was carried out for a geometry-optimized ZrAl2Te structure.

a b c (Å): 3.0807 3.0807 8.7992
angles (deg): 90.00 90.00 96.37
Closest atoms and distances in Å follow each position.
Fractional coordinates of all 4 atoms:
Zr 0.5000 0.5000 0.0000  8 Al 2.86-3.04, 4 Zr 3.08
Al 0.0000 0.0000 0.7737  4 Zr 2.86-3.04, 4 Al 3.08, 2 Te 3.17
Al 0.0000 0.0000 0.2263  4 Zr 2.86-3.04, 4 Al 3.08, 2 Te 3.17
Te 0.5000 0.5000 0.5000  4 Te 3.08, 8 Al 3.17-3.33

As for the formation energy without anion corrections: -2.1 kJ per mole of atoms. The calculation puts the theoretical density at 5.458 g/cm³. Its total moment is 0.00 μB/f.u. The calculation puts the calculated volume at 83.0 Å³/cell. The calculation puts the total energy at -5.22 eV/atom.